1.
Below is an optimized crystal structure of Sc2SnF, with properties calculated at the PBE level.

Cell and atoms, written as POSCAR:
```
Sc2SnF
1.0
-0.0151 6.2567 -2.7086
0.8782 -2.6843 -6.2054
-2.9676 1.6039 -4.8592
F Sc Sn
2 4 2
Cartesian
-0.8290 0.3529 -7.7607
0.4315 1.7862 -4.4570
-0.6402 3.4042 -3.4359
-0.1963 0.0770 -5.6792
-1.8218 2.2974 -7.5540
-1.5508 4.5741 -10.8771
0.0000 0.0000 0.0000
-1.2756 4.8234 -6.0124
```

* total energy: -48.47 eV/cell
* polymorph energy (0 for the lowest one): 0.000 eV/f.u.
* DOS(E_F): 0.468 states/eV/atom
* energy relative to the elements, uncorrected: -1424.0 meV/atom
* total magnetization: 2.0 μB/cell

2.
Below is an optimized crystal structure of Sc2SnF, with properties calculated at the PBE level.

Cell and atoms, written as POSCAR:
```
Sc2SnF
1.0
-5.3229 7.6061 1.2556
-5.4949 6.3135 4.2081
-2.9952 8.1941 3.4128
Sc F Sn
2 1 1
Cartesian
-1.4551 2.3296 0.9351
-12.3579 19.7841 7.9414
-6.9065 11.0568 4.4382
0.0000 0.0000 0.0000
```

* total energy: -22.30 eV/cell
* polymorph energy (0 for the lowest one): 1.930 eV/f.u.
* DOS(E_F): 0.782 states/eV/atom
* energy relative to the elements, uncorrected: -941.4 meV/atom
* total magnetization: 0.0 μB/cell

- What is the formula in the first record?
  Sc2SnF

- energy relative to the elements, uncorrected of number 2 (Sc2SnF)?
  -941.4 meV/atom